# 1
Below is a geometry-optimized YTlRe2Mo structure, with properties calculated at the GGA-PBE level.

a b c (Å): 4.7768 4.7768 5.2054
angles (deg): 90.00 90.00 90.00
With the nearest neighbours (Å) after each atom.
Space group P4/mmm (No. 123)
One atom of each set of equivalent atoms:
Y (0.0000, 0.0000, 0.0000) x1  4 Tl 3.38, 8 Re 3.53
Tl (0.5000, 0.5000, 0.0000) x1  2 Mo 2.60
Re (0.0000, 0.5000, 0.5000) x2  2 Mo 2.39
Mo (0.5000, 0.5000, 0.5000) x1  4 Re 2.39, 2 Tl 2.60

Values from the calculation:
* energy: -7.65 eV/atom
* energy of formation: 29.13 kcal/mol of atoms
* DOS(E_F): 4.747 states/eV per cell
* volume: 23.76 Å³ per atom
* size of the total moment: 0.00 μB per formula unit


# 2
Below is a geometry-optimized ZrTlReMo2 structure, with properties calculated at the GGA-PBE level.

a b c (Å): 4.8789 4.8789 5.1054
angles (deg): 90.00 90.00 90.00
With the nearest neighbours (Å) after each atom.
Space group P4/mmm (No. 123)
One atom of each set of equivalent atoms:
Zr (0.0000, 0.0000, 0.0000) x1  2 Tl 2.55
Tl (0.0000, 0.0000, 0.5000) x1  4 Mo 2.44, 2 Zr 2.55
Re (0.5000, 0.5000, 0.0000) x1  4 Zr 3.45, 8 Mo 3.53
Mo (0.0000, 0.5000, 0.5000) x2  2 Tl 2.44

Values from the calculation:
* energy: -6.23 eV/atom
* energy of formation: 63.99 kcal/mol of atoms
* DOS(E_F): 10.494 states/eV per cell
* volume: 24.31 Å³ per atom
* size of the total moment: 1.00 μB per formula unit


# 3
Below is a geometry-optimized TmReMo structure, with properties calculated at the GGA-PBE level.

a b c (Å): 5.4209 5.4623 7.6639
angles (deg): 90.00 90.00 90.00
With the nearest neighbours (Å) after each atom.
Space group Imma (No. 74)
One atom of each set of equivalent atoms:
Tm (0.0000, 0.2500, 0.1232) x4  6 Re 3.17-3.20, 6 Mo 3.18-3.19, 4 Tm 3.32-3.34
Re (0.2500, 0.2500, 0.7500) x4  2 Re 2.71, 4 Mo 2.72
Mo (0.0000, 0.0000, 0.5000) x4  4 Re 2.72, 2 Mo 2.73

Values from the calculation:
* energy: -9.40 eV/atom
* energy of formation: -3.39 kcal/mol of atoms
* DOS(E_F): 9.259 states/eV per cell
* volume: 18.91 Å³ per atom
* size of the total moment: 0.00 μB per formula unit
* distance to the lowest polymorph of the same formula: 0.0 kJ/mol of atoms


> Which formula does entry 2 have?

ZrTlReMo2